Computed, not measured: a relaxed structure of HfAg2Hg at the PBE-GGA level of DFT.

Cell and atoms, written as POSCAR:
```
HfAg2Hg
1.0
3.039 0.000 0.000
0.000 3.081 0.000
0.000 0.000 9.127
Hf Ag Hg
1 2 1
Direct
0.000 0.000 0.000
0.500 0.500 0.227
0.500 0.500 0.773
0.500 0.000 0.500
```

* formation energy: 0.099 eV per atom
* M_tot: 0.00 μB per formula unit
* N(E_F): 2.60 states/eV per cell